No. 1
LuPuMg PBE optimized geometry; space-group type = F-43m (216)
1.0
0.000 3.647 3.647
3.647 0.000 3.647
3.647 3.647 0.000
Lu Pu Mg
1 1 1
Direct
0.000 0.000 0.000
0.500 0.500 0.500
0.250 0.250 0.250

=====

No. 2
RbLuMg PBE optimized geometry; space-group type = F-43m (216)
1.0
0.000 4.059 4.059
4.059 0.000 4.059
4.059 4.059 0.000
Rb Lu Mg
1 1 1
Direct
0.000 0.000 0.000
0.750 0.750 0.750
0.500 0.500 0.500

=====

No. 3
Lu2Mg3Re PBE optimized geometry; space-group type = P6_3/mmc (194)
1.0
5.553 0.000 0.000
-2.776 4.809 0.000
0.000 0.000 9.685
Lu Mg Re
4 6 2
Direct
0.333 0.667 0.049
0.333 0.667 0.451
0.667 0.333 0.549
0.667 0.333 0.951
0.163 0.326 0.750
0.163 0.837 0.750
0.326 0.163 0.250
0.674 0.837 0.750
0.837 0.163 0.250
0.837 0.674 0.250
0.000 0.000 0.000
0.000 0.000 0.500

=====

No. 4
Lu2MgRe3 PBE optimized geometry; space-group type = P6_3/mmc (194)
1.0
5.301 0.000 0.000
-2.650 4.590 0.000
0.000 0.000 9.175
Lu Mg Re
4 2 6
Direct
0.333 0.667 0.072
0.333 0.667 0.428
0.667 0.333 0.572
0.667 0.333 0.928
0.000 0.000 0.000
0.000 0.000 0.500
0.170 0.341 0.750
0.170 0.830 0.750
0.341 0.170 0.250
0.659 0.830 0.750
0.830 0.170 0.250
0.830 0.659 0.250

=====

No. 5
Lu2MgSc PBE optimized geometry; space-group type = F-43m (216)
1.0
0.000 3.736 3.736
3.736 0.000 3.736
3.736 3.736 0.000
Lu Mg Sc
2 1 1
Direct
0.000 0.000 0.000
0.250 0.250 0.250
0.750 0.750 0.750
0.500 0.500 0.500

=====

No. 6
SrLuMgSe3 PBE optimized geometry; space-group type = Cmcm (63)
1.0
2.060 -7.053 0.000
2.060 7.053 0.000
0.000 0.000 10.572
Sr Lu Mg Se
2 2 2 6
Direct
0.236 0.764 0.750
0.764 0.236 0.250
0.000 0.000 0.000
0.000 0.000 0.500
0.480 0.520 0.250
0.520 0.480 0.750
0.092 0.908 0.250
0.367 0.633 0.061
0.367 0.633 0.439
0.633 0.367 0.561
0.633 0.367 0.939
0.908 0.092 0.750

=====

What total energy values result from the calculations? In sequence: -18.5 -4.2 -50.8 -97.4 -16.6 -54.3 eV per cell.